LuSiHO4 | GGA-PBE | relaxed

Summary:
The calculated total energy is -7.397 eV/atom. As for the offset from the most stable computed form: 0.612 eV/f.u. The value obtained for the density is 6.50 g/cm3.

Cell lengths 4.7770, 6.5223, 4.4305 Å; angles 90.00, 96.94, 90.00 degrees
Element x y z (fractional)
1 H 0.0000 0.0000 0.5000
2 H 0.0000 0.5000 0.5000
3 Lu 0.1940 0.2500 0.0713
4 Lu 0.8060 0.7500 0.9287
5 O 0.6759 0.2500 0.2068
6 O 0.1188 0.5538 0.2825
7 O 0.1188 0.9462 0.2825
8 O 0.6364 0.7500 0.3552
9 O 0.3636 0.2500 0.6449
10 O 0.8812 0.0538 0.7175
11 O 0.8812 0.4462 0.7175
12 O 0.3241 0.7500 0.7932
13 Si 0.3169 0.7500 0.4262
14 Si 0.6831 0.2500 0.5738

***

AcZn2Pd | GGA-PBE | relaxed

Summary:
The calculated total energy is -3.509 eV/atom. As for the formation energy: -2.23 eV/f.u. The value obtained for the density is 8.80 g/cm3.

Cell lengths 5.7173, 5.7173, 7.7257 Å; angles 90.00, 90.00, 136.05 degrees
Element x y z (fractional)
1 Ac 0.5631 0.4369 0.2500
2 Ac 0.4369 0.5631 0.7500
3 Pd 0.2818 0.7182 0.2500
4 Pd 0.7182 0.2818 0.7500
5 Zn 0.8437 0.1563 0.0566
6 Zn 0.8437 0.1563 0.4434
7 Zn 0.1563 0.8437 0.5566
8 Zn 0.1563 0.8437 0.9434

***

TbErMg2Cu4 | GGA-PBE | relaxed

Summary:
The calculated total energy is -3.602 eV/atom. The value obtained for the density is 7.23 g/cm3.

Cell lengths 4.6729, 4.6729, 6.6174 Å; angles 90.00, 90.00, 90.00 degrees
Element x y z (fractional)
1 Cu 0.5000 0.0000 0.2462
2 Cu 0.0000 0.5000 0.2462
3 Cu 0.5000 0.0000 0.7538
4 Cu 0.0000 0.5000 0.7538
5 Er 0.0000 0.0000 0.0000
6 Mg 0.5000 0.5000 0.0000
7 Mg 0.0000 0.0000 0.5000
8 Tb 0.5000 0.5000 0.5000

***

InCuTeOs | GGA-PBE | relaxed

Summary:
The calculated total energy is -4.632 eV/atom. As for the offset from the most stable computed form: 0.000 eV/f.u. The value obtained for the density is 11.42 g/cm3.

Cell lengths 4.6723, 4.6723, 4.6723 Å; angles 60.00, 60.00, 60.00 degrees
Element x y z (fractional)
1 Cu 0.7500 0.7500 0.7500
2 In 0.0000 0.0000 0.0000
3 Os 0.2500 0.2500 0.2500
4 Te 0.5000 0.5000 0.5000

***

PaTlCo | GGA-PBE | relaxed

Summary:
The calculated total energy is -5.400 eV/atom. As for the offset from the most stable computed form: 0.092 eV/f.u. The value obtained for the density is 10.84 g/cm3.

Cell lengths 4.7489, 4.7489, 4.7489 Å; angles 60.00, 60.00, 60.00 degrees
Site moments in Bohr magnetons follow the coordinates.
Element x y z (fractional)
1 Co 0.5000 0.5000 0.5000  0.12
2 Pa 0.2500 0.2500 0.2500  -0.10
3 Tl 0.0000 0.0000 0.0000  0.00

***

NaGd5 | GGA-PBE | relaxed

Summary:
The calculated total energy is -3.622 eV/atom. The value obtained for the density is 6.07 g/cm3.

Cell lengths 6.6604, 6.6604, 5.7647 Å; angles 90.00, 90.00, 120.00 degrees
Element x y z (fractional)
1 Gd 0.6667 0.3333 0.0000
2 Gd 0.3333 0.6667 0.0000
3 Gd 0.5000 0.0000 0.5000
4 Gd 0.0000 0.5000 0.5000
5 Gd 0.5000 0.5000 0.5000
6 Na 0.0000 0.0000 0.0000